# 1
The following is a DFT calculation (PBE) of Ac4Se5S after structural relaxation.

E_form (uncorrected) in meV/atom: -1981

abc: 4.525 8.410 10.372
angles: 113.95 102.60 90.00
Fractional positions:
Ac 0.287 0.787 0.573
Ac 0.000 0.753 0.000
Ac 0.713 0.213 0.427
Ac 0.000 0.247 0.000
Se 0.834 0.599 0.669
Se 0.834 0.070 0.669
Se 0.166 0.930 0.331
Se 0.500 0.500 0.000
Se 0.166 0.401 0.331
S 0.500 0.000 0.000

***

# 2
The following is a DFT calculation (PBE) of KNa2Ga after structural relaxation.

Raw total energy in eV per atom: -1.52

abc: 4.990 4.990 12.226
angles: 78.22 78.22 90.00
Fractional positions:
Na 0.673 0.125 0.250
Na 0.077 0.625 0.250
Na 0.375 0.327 0.750
Na 0.875 0.923 0.750
K 0.500 0.500 0.000
K 0.250 0.750 0.500
Ga 0.000 0.000 0.000
Ga 0.750 0.250 0.500

***

# 3
The following is a DFT calculation (PBE) of Ce12HoCo6 after structural relaxation.

Raw total energy in eV per atom: -6.34

abc: 8.331 8.331 8.331
angles: 109.47 109.47 109.47
Fractional positions:
Ce 0.310 0.122 0.813
Ce 0.310 0.497 0.187
Ce 0.690 0.503 0.813
Ce 0.690 0.878 0.187
Ce 0.122 0.813 0.310
Ce 0.497 0.187 0.310
Ce 0.503 0.813 0.690
Ce 0.878 0.187 0.690
Ce 0.813 0.310 0.122
Ce 0.187 0.310 0.497
Ce 0.813 0.690 0.503
Ce 0.187 0.690 0.878
Ho 0.000 0.000 0.000
Co 0.357 0.500 0.857
Co 0.643 0.500 0.143
Co 0.500 0.857 0.357
Co 0.500 0.143 0.643
Co 0.857 0.357 0.500
Co 0.143 0.643 0.500

***

# 4
The following is a DFT calculation (PBE) of ZrAlRe4 after structural relaxation.

Raw total energy in eV per atom: -10.43

abc: 5.236 5.236 5.236
angles: 60.00 60.00 60.00
Fractional positions:
Zr 0.250 0.250 0.250
Al 0.000 0.000 0.000
Re 0.626 0.626 0.123
Re 0.626 0.123 0.626
Re 0.626 0.626 0.626
Re 0.123 0.626 0.626

***

# 5
The following is a DFT calculation (PBE) of Tm2MgFe after structural relaxation.

Polymorph energy (0 for the lowest one) in meV per atom: 160

abc: 4.971 4.971 4.971
angles: 60.00 60.00 60.00
Fractional positions:
Mg 0.500 0.500 0.500
Tm 0.250 0.250 0.250
Tm 0.750 0.750 0.750
Fe 0.000 0.000 0.000

***

# 6
The following is a DFT calculation (PBE) of Th3V5N12 after structural relaxation.

E_form (uncorrected) in meV/atom: -1104

abc: 10.955 10.955 10.955
angles: 109.47 109.47 109.47
Fractional positions:
N 0.698 0.118 0.015
N 0.318 0.515 0.398
N 0.985 0.382 0.302
N 0.515 0.198 0.118
N 0.580 0.698 0.682
N 0.985 0.602 0.182
N 0.318 0.802 0.420
N 0.102 0.920 0.118
N 0.602 0.985 0.682
N 0.698 0.580 0.182
N 0.802 0.485 0.382
N 0.818 0.898 0.015
N 0.118 0.698 0.515
N 0.382 0.398 0.080
N 0.080 0.898 0.382
N 0.420 0.118 0.602
N 0.080 0.182 0.198
N 0.485 0.682 0.102
N 0.818 0.920 0.302
N 0.118 0.420 0.102
N 0.382 0.985 0.802
N 0.602 0.618 0.420
N 0.898 0.818 0.515
N 0.802 0.318 0.920
N 0.398 0.382 0.580
N 0.102 0.182 0.485
N 0.198 0.682 0.080
N 0.182 0.080 0.698
N 0.618 0.015 0.198
N 0.882 0.580 0.898
N 0.515 0.318 0.898
N 0.580 0.882 0.398
N 0.920 0.818 0.802
N 0.920 0.102 0.618
N 0.882 0.302 0.485
N 0.182 0.102 0.985
N 0.618 0.602 0.920
N 0.398 0.015 0.318
N 0.302 0.420 0.818
N 0.198 0.515 0.618
N 0.898 0.080 0.882
N 0.682 0.198 0.580
N 0.485 0.802 0.882
N 0.015 0.398 0.818
N 0.420 0.302 0.318
N 0.015 0.618 0.698
N 0.682 0.485 0.602
N 0.302 0.882 0.985
Th 0.750 0.375 0.125
Th 0.875 0.750 0.125
Th 0.375 0.750 0.625
Th 0.250 0.125 0.375
Th 0.875 0.125 0.250
Th 0.375 0.625 0.250
Th 0.625 0.375 0.750
Th 0.125 0.875 0.750
Th 0.750 0.875 0.625
Th 0.625 0.250 0.375
Th 0.125 0.250 0.875
Th 0.250 0.625 0.875
V 0.125 0.375 0.250
V 0.000 0.500 0.000
V 0.000 0.000 0.000
V 0.375 0.250 0.125
V 0.500 0.000 0.500
V 0.500 0.500 0.000
V 0.125 0.750 0.375
V 0.750 0.125 0.875
V 0.750 0.625 0.375
V 0.375 0.125 0.750
V 0.625 0.875 0.250
V 0.500 0.500 0.500
V 0.500 0.000 0.000
V 0.000 0.000 0.500
V 0.250 0.375 0.625
V 0.250 0.875 0.125
V 0.000 0.500 0.500
V 0.875 0.250 0.625
V 0.625 0.750 0.875
V 0.875 0.625 0.750